The following is a GGA-PBEsol calculation of a geometry-optimized NdNi2Bi2 structure, from Alexandria.

Summary:
**DFT total energy**: -5.573 eV/atom
**ΔH_f (0 K)**: -0.363 eV/atom

Unit cell a=4.5854 b=4.5854 c=10.0065 alpha=90.00 beta=90.00 gamma=90.00
With the nearest neighbours (Å) after each atom.
Space group P4/nmm (No. 129, origin choice 2)
One atom of each set of equivalent atoms:
1 Nd 0.2500 0.2500 0.2321 (multiplicity 2)  8 Ni 3.26-3.54, 9 Bi 3.42-3.57
2 Ni 0.2500 0.2500 0.6248 (multiplicity 2)  5 Bi 2.51-2.61
3 Ni 0.2500 0.7500 0.0000 (multiplicity 2)  4 Bi 2.61
4 Bi 0.2500 0.2500 0.8757 (multiplicity 2)  5 Ni 2.51-2.61
5 Bi 0.2500 0.7500 0.5000 (multiplicity 2)  4 Ni 2.61